Record 1
# ScSi2Tc PBE optimized geometry
data_ScSi2Tc
_chemical_formula_sum 'Sc2 Si4 Tc2'
_space_group_name_H-M_alt 'I m m m'
_space_group_IT_number 71
_space_group_name_Hall '-I 2 2'
_cell_length_a 3.244
_cell_length_b 4.892
_cell_length_c 7.995
_cell_angle_alpha 90.00
_cell_angle_beta 90.00
_cell_angle_gamma 90.00
loop_
_atom_site_label
_atom_site_type_symbol
_atom_site_fract_x
_atom_site_fract_y
_atom_site_fract_z
_atom_site_occupancy
Sc1 Sc 0.000 0.000 0.000 1
Si1 Si 0.000 0.500 0.234 1
Tc1 Tc 0.000 0.000 0.500 1
# excess energy over the best structure of this formula in the dataset = 34.74 kJ/mol of atoms
# raw total energy = -7.233 eV per atom
# DOS at the Fermi energy = 3.3 states/eV/cell
# uncorrected formation energy = -0.347 eV per atom
# magnetic moment = 0.00 μB/f.u.

---

Record 2
# TlTe2Br4 PBE optimized geometry
data_TlTe2Br4
_chemical_formula_sum 'Tl2 Te4 Br8'
_space_group_name_H-M_alt 'I 4/m m m'
_space_group_IT_number 139
_space_group_name_Hall '-I 4 2'
_cell_length_a 5.735
_cell_length_b 5.735
_cell_length_c 17.439
_cell_angle_alpha 90.00
_cell_angle_beta 90.00
_cell_angle_gamma 90.00
loop_
_atom_site_label
_atom_site_type_symbol
_atom_site_fract_x
_atom_site_fract_y
_atom_site_fract_z
_atom_site_occupancy
Tl1 Tl 0.000 0.000 0.000 1
Te1 Te 0.000 0.000 0.345 1
Br1 Br 0.000 0.000 0.202 1
Br2 Br 0.000 0.500 0.000 1
# excess energy over the best structure of this formula in the dataset = 36.17 kJ/mol of atoms
# raw total energy = -2.182 eV per atom
# DOS at the Fermi energy = 14.6 states/eV/cell
# uncorrected formation energy = 0.009 eV per atom
# magnetic moment = 0.00 μB/f.u.

---

Record 3
# CaBe3N3 PBE optimized geometry
data_CaBe3N3
_chemical_formula_sum 'Ca2 Be6 N6'
_space_group_name_H-M_alt 'P 63/m'
_space_group_IT_number 176
_space_group_name_Hall '-P 6c'
_cell_length_a 7.5314
_cell_length_b 7.5314
_cell_length_c 2.9231
_cell_angle_alpha 90.00
_cell_angle_beta 90.00
_cell_angle_gamma 120.00
loop_
_atom_site_label
_atom_site_type_symbol
_atom_site_fract_x
_atom_site_fract_y
_atom_site_fract_z
_atom_site_occupancy
Ca1 Ca 0.3333 0.6667 0.2500 1
Be1 Be 0.0037 0.2831 0.7500 1
N1 N 0.1126 0.7460 0.7500 1
# raw total energy = -6.245 eV per atom
# DOS at the Fermi energy = 6.8 states/eV/cell
# uncorrected formation energy = -0.794 eV per atom
# magnetic moment = 0.00 μB/f.u.

---

Record 4
# AsIrCl2 PBE optimized geometry
data_AsIrCl2
_chemical_formula_sum 'As2 Ir2 Cl4'
_space_group_name_H-M_alt 'C m m m'
_space_group_IT_number 65
_space_group_name_Hall '-C 2 2'
_cell_length_a 5.894
_cell_length_b 8.193
_cell_length_c 2.928
_cell_angle_alpha 90.00
_cell_angle_beta 90.00
_cell_angle_gamma 90.00
loop_
_atom_site_label
_atom_site_type_symbol
_atom_site_fract_x
_atom_site_fract_y
_atom_site_fract_z
_atom_site_occupancy
As1 As 0.000 0.000 0.000 1
Ir1 Ir 0.000 0.500 0.000 1
Cl1 Cl 0.250 0.250 0.500 1
# excess energy over the best structure of this formula in the dataset = 141.24 kJ/mol of atoms
# raw total energy = -3.307 eV per atom
# DOS at the Fermi energy = 9.4 states/eV/cell
# uncorrected formation energy = 0.994 eV per atom
# magnetic moment = 0.00 μB/f.u.